This record from the Alexandria database describes crystalline LuTl at its relaxed geometry. The functional is PBE.

- DFT formation energy (kJ/mol of atoms) = -25.2

a = 3.5800 Å, b = 3.5800 Å, c = 4.0825 Å
α = 90.00°, β = 90.00°, γ = 90.00°
Last column: nearest neighbours and their distance in Å.
Fractional coordinates of all 2 atoms:
Lu  0.5000  0.5000  0.5000  8 Tl 3.25, 4 Lu 3.58
Tl  0.0000  0.0000  0.0000  8 Lu 3.25, 4 Tl 3.58

---

This record from the Alexandria database describes crystalline CsLiP2Pt4 at its relaxed geometry. The functional is PBE.

- DFT formation energy (kJ/mol of atoms) = -52.6

a = 4.0363 Å, b = 4.0363 Å, c = 10.2625 Å
α = 90.00°, β = 90.00°, γ = 90.00°
Last column: nearest neighbours and their distance in Å.
Fractional coordinates of all 8 atoms:
Pt  0.0000  0.5000  0.8394  2 P 2.32
Pt  0.5000  0.0000  0.8394  2 P 2.32
Pt  0.0000  0.5000  0.1606  2 P 2.32
Pt  0.5000  0.0000  0.1606  2 P 2.32
P  0.5000  0.5000  0.7288  4 Pt 2.32
P  0.5000  0.5000  0.2712  4 Pt 2.32
Li  0.0000  0.0000  0.0000  8 Pt 2.61
Cs  0.0000  0.0000  0.5000  8 P 3.70, 8 Pt 4.03, 4 Cs 4.04

---

This record from the Alexandria database describes crystalline MgScMn2 at its relaxed geometry. The functional is PBE.

- DFT formation energy (kJ/mol of atoms) = 54.4

a = 7.2418 Å, b = 7.2418 Å, c = 5.8499 Å
α = 51.76°, β = 51.76°, γ = 90.00°
Last column: nearest neighbours and their distance in Å.
Fractional coordinates of all 8 atoms:
Mn  0.3750  0.3820  0.7500  2 Mg 2.62, 2 Sc 2.69, 2 Mn 2.83
Mn  0.1320  0.6250  0.2500  2 Mg 2.62, 2 Sc 2.69, 2 Mn 2.83
Mn  0.6180  0.1250  0.2500  2 Mg 2.62, 2 Sc 2.69, 2 Mn 2.83
Mn  0.8750  0.8680  0.7500  2 Mg 2.62, 2 Sc 2.69, 2 Mn 2.83
Mg  0.2500  0.7500  0.5000  4 Mn 2.62, 2 Sc 2.83
Mg  0.5000  0.5000  0.0000  4 Mn 2.62, 2 Sc 2.83
Sc  0.7500  0.2500  0.5000  4 Mn 2.69, 2 Mg 2.83
Sc  0.0000  0.0000  0.0000  4 Mn 2.69, 2 Mg 2.83

---

This record from the Alexandria database describes crystalline Ba2CdIr at its relaxed geometry. The functional is PBE.

- DFT formation energy (kJ/mol of atoms) = -12.4

a = 4.7726 Å, b = 4.7386 Å, c = 6.5266 Å
α = 68.58°, β = 90.00°, γ = 90.00°
Last column: nearest neighbours and their distance in Å.
Fractional coordinates of all 4 atoms:
Ir  0.5000  0.5660  0.7420  2 Cd 2.78
Cd  0.0000  0.6849  0.5059  2 Ir 2.78
Ba  0.5000  0.2647  0.3465  3 Ir 3.37-3.67, 4 Cd 3.50
Ba  0.0000  0.9844  0.9055  3 Cd 3.39-3.65, 4 Ir 3.50-3.51

---

This record from the Alexandria database describes crystalline CuOs2Ru at its relaxed geometry. The functional is PBE.

- distance to the lowest polymorph of the same formula (meV per atom) = 146
- DFT formation energy (kJ/mol of atoms) = 34.1

a = 4.7083 Å, b = 4.7083 Å, c = 4.7083 Å
α = 132.85°, β = 132.85°, γ = 68.89°
Last column: nearest neighbours and their distance in Å.
Fractional coordinates of all 4 atoms:
Os  0.0000  0.0000  0.0000  4 Ru 2.66, 4 Os 2.70, 4 Cu 2.70
Os  0.2500  0.7500  0.5000  4 Cu 2.66, 4 Os 2.70, 4 Ru 2.70
Cu  0.7500  0.2500  0.5000  8 Os 2.66-2.70, 4 Ru 2.70
Ru  0.5000  0.5000  0.0000  8 Os 2.66-2.70, 4 Cu 2.70

---

This record from the Alexandria database describes crystalline UClO2 at its relaxed geometry. The functional is PBE.

- distance to the lowest polymorph of the same formula (meV per atom) = 159
- ΔE_f (raw) (eV/f.u.) = -9.93

a = 3.7040 Å, b = 3.7040 Å, c = 5.6894 Å
α = 71.00°, β = 71.00°, γ = 60.00°
Last column: nearest neighbours and their distance in Å.
Fractional coordinates of all 4 atoms:
O  0.7052  0.7052  0.8845  3 U 2.22, 3 O 2.46
O  0.2948  0.2948  0.1155  3 U 2.22, 3 O 2.46
U  0.0000  0.0000  0.0000  6 O 2.22
Cl  0.5000  0.5000  0.5000  8 O 2.95-3.25

---

This record from the Alexandria database describes crystalline SrMgTc at its relaxed geometry. The functional is PBE.

- distance to the lowest polymorph of the same formula (meV per atom) = 96
- DFT formation energy (kJ/mol of atoms) = 66.1

a = 5.1180 Å, b = 5.1180 Å, c = 2.9792 Å
α = 90.00°, β = 90.00°, γ = 120.00°
Last column: nearest neighbours and their distance in Å.
Fractional coordinates of all 3 atoms:
Sr  0.6667  0.3333  0.3326  2 Sr 2.98, 3 Mg 3.27, 3 Tc 3.27
Mg  0.0000  0.0000  0.8652  3 Tc 2.96, 2 Mg 2.98, 3 Sr 3.27
Tc  0.3333  0.6667  0.8022  3 Mg 2.96, 2 Tc 2.98, 3 Sr 3.27

---

This record from the Alexandria database describes crystalline K2NiTe at its relaxed geometry. The functional is PBE.

- ΔE_f (raw) (eV/f.u.) = -0.83

a = 5.1460 Å, b = 7.1314 Å, c = 8.0338 Å
α = 36.06°, β = 90.00°, γ = 90.00°
Last column: nearest neighbours and their distance in Å.
Fractional coordinates of all 4 atoms:
K  0.0000  0.1986  0.0559  2 Ni 3.18, 2 Te 3.54
K  0.0000  0.3014  0.4441  2 Ni 3.18, 2 Te 3.54
Te  0.5000  0.7500  0.7500  2 Ni 2.39
Ni  0.5000  0.2500  0.2500  2 Te 2.39

---

This record from the Alexandria database describes crystalline TbPm2Y4Er2 at its relaxed geometry. The functional is PBE.

- DFT formation energy (kJ/mol of atoms) = 0.7

a = 3.6068 Å, b = 9.5317 Å, c = 9.5865 Å
α = 115.28°, β = 90.00°, γ = 100.91°
Last column: nearest neighbours and their distance in Å.
Fractional coordinates of all 9 atoms:
Pm  0.8514  0.7028  0.3325  3 Er 3.54-3.55, 7 Y 3.56-3.61, 2 Pm 3.61
Pm  0.1486  0.2972  0.6675  3 Er 3.54-3.55, 7 Y 3.56-3.61, 2 Pm 3.61
Tb  0.0000  0.0000  0.0000  6 Y 3.54, 4 Er 3.60, 2 Tb 3.61
Y  0.1848  0.3695  0.3320  2 Er 3.54, 1 Tb 3.54, 3 Pm 3.56-3.60, 6 Y 3.57-3.61
Y  0.5186  0.0372  0.3316  2 Tb 3.54, 1 Er 3.55, 4 Pm 3.57-3.61, 5 Y 3.59-3.61
Y  0.8152  0.6305  0.6680  2 Er 3.54, 1 Tb 3.54, 3 Pm 3.56-3.60, 6 Y 3.57-3.61
Y  0.4814  0.9628  0.6684  2 Tb 3.54, 1 Er 3.55, 4 Pm 3.57-3.61, 5 Y 3.59-3.61
Er  0.6668  0.3335  0.0008  3 Pm 3.54-3.55, 3 Y 3.54-3.55, 2 Tb 3.60, 4 Er 3.61
Er  0.3332  0.6665  0.9992  3 Pm 3.54-3.55, 3 Y 3.54-3.55, 2 Tb 3.60, 4 Er 3.61

---

This record from the Alexandria database describes crystalline OsCSCl2 at its relaxed geometry. The functional is PBE.

- distance to the lowest polymorph of the same formula (meV per atom) = 0
- ΔE_f (raw) (eV/f.u.) = 7.89

a = 4.9016 Å, b = 4.9016 Å, c = 4.3957 Å
α = 90.00°, β = 90.00°, γ = 90.00°
Last column: nearest neighbours and their distance in Å.
Fractional coordinates of all 5 atoms:
C  0.5000  0.5000  0.5000  8 Cl 3.29, 4 S 3.47
Cl  0.5000  0.0000  0.0000  2 Os 2.45
Cl  0.0000  0.5000  0.0000  2 Os 2.45
S  0.0000  0.0000  0.5000  2 Os 2.20
Os  0.0000  0.0000  0.0000  2 S 2.20, 4 Cl 2.45

---

This record from the Alexandria database describes crystalline CeVTcP2 at its relaxed geometry. The functional is PBE.

- DFT formation energy (kJ/mol of atoms) = -86.1

a = 3.8846 Å, b = 3.8846 Å, c = 6.2744 Å
α = 108.03°, β = 108.03°, γ = 90.00°
Last column: nearest neighbours and their distance in Å.
Fractional coordinates of all 5 atoms:
P  0.3730  0.3730  0.7460  2 V 2.39, 2 Tc 2.39
P  0.6270  0.6270  0.2540  2 Tc 2.39, 2 V 2.39
V  0.7500  0.2500  0.5000  4 P 2.39
Ce  0.0000  0.0000  0.0000  8 P 3.10, 4 Tc 3.42, 4 V 3.42
Tc  0.2500  0.7500  0.5000  4 P 2.39

---

This record from the Alexandria database describes crystalline K2CdAu at its relaxed geometry. The functional is PBE.

- DFT formation energy (kJ/mol of atoms) = -21.5

a = 4.8319 Å, b = 5.0019 Å, c = 6.6904 Å
α = 68.07°, β = 90.00°, γ = 90.00°
Last column: nearest neighbours and their distance in Å.
Fractional coordinates of all 4 atoms:
K  0.0000  0.9781  0.9195  3 Au 3.60-3.62, 4 Cd 3.65
K  0.5000  0.2691  0.3362  3 Cd 3.55-3.69, 4 Au 3.63
Au  0.0000  0.6857  0.5028  2 Cd 2.83
Cd  0.5000  0.5671  0.7415  2 Au 2.83

---

This record from the Alexandria database describes crystalline CeEuH3 at its relaxed geometry. The functional is PBE.

- uncorrected energy (hartree per atom) = -0.2024

a = 4.3961 Å, b = 4.3961 Å, c = 4.3961 Å
α = 90.00°, β = 90.00°, γ = 90.00°
Last column: nearest neighbours and their distance in Å.
Fractional coordinates of all 5 atoms:
H  0.0000  0.0000  0.5000  2 Ce 2.20
H  0.5000  0.0000  0.0000  2 Ce 2.20
H  0.0000  0.5000  0.0000  2 Ce 2.20
Ce  0.0000  0.0000  0.0000  6 H 2.20
Eu  0.5000  0.5000  0.5000  12 H 3.11

---

Number 1: DOS(E_F) 1.326 states/eV per cell. Number 2: DOS(E_F) 1.739 states/eV per cell. Number 3: DOS(E_F) 13.001 states/eV per cell. Number 4: DOS(E_F) 2.382 states/eV per cell. Number 5: DOS(E_F) 5.099 states/eV per cell. Number 6: DOS(E_F) 5.048 states/eV per cell. Number 7: DOS(E_F) 2.712 states/eV per cell. Number 8: DOS(E_F) 1.875 states/eV per cell. Number 9: DOS(E_F) 12.417 states/eV per cell. Number 10: DOS(E_F) 3.693 states/eV per cell. Number 11: DOS(E_F) 7.622 states/eV per cell. Number 12: DOS(E_F) 1.518 states/eV per cell. Number 13: DOS(E_F) 5.148 states/eV per cell.